Record 1
A plane-wave DFT calculation with PBE was carried out for AlTlCd2 after structural relaxation.

ΔH_f (0 K) in eV/f.u.: 0.66
Size of the total moment in μB per atom: 0.00

Lattice parameters (Å, degrees): 6.3346 6.3346 6.3346 151.16 127.50 61.00
Closest atoms and distances in Å follow each position.
Element x y z (fractional)
Cd 0.2392 0.7392 0.5000  4 Cd 3.15-3.17, 4 Al 3.22, 2 Tl 3.37
Cd 0.9872 0.9872 0.0000  2 Al 2.92, 4 Cd 3.15-3.17, 4 Tl 3.23
Al 0.7620 0.2620 0.5000  6 Cd 2.92-3.22, 2 Al 3.15, 2 Tl 3.16
Tl 0.5116 0.5116 0.0000  2 Tl 3.15, 2 Al 3.16, 6 Cd 3.23-3.37


Record 2
A plane-wave DFT calculation with PBE was carried out for Al2TlCd after structural relaxation.

ΔH_f (0 K) in eV/f.u.: 0.97
Size of the total moment in μB per atom: 0.00

Lattice parameters (Å, degrees): 3.1147 4.3415 6.6767 90.00 90.00 90.00
Closest atoms and distances in Å follow each position.
Element x y z (fractional)
Tl 0.5000 0.5000 0.7500  2 Tl 3.11, 8 Al 3.26, 2 Cd 3.34
Cd 0.5000 0.5000 0.2500  8 Al 3.05, 2 Cd 3.11, 2 Tl 3.34
Al 0.0000 0.0000 0.0289  3 Al 2.95-3.11, 4 Cd 3.05, 4 Tl 3.26
Al 0.0000 0.0000 0.4711  3 Al 2.95-3.11, 4 Cd 3.05, 4 Tl 3.26


Which value of size of the total moment does entry 2 give? 0.00 μB per atom